No. 1
# KTl2Te (SCAN, single point on PBEsol structure)
data_KTl2Te
_chemical_formula_sum 'K1 Tl2 Te1'
_cell_length_a 3.3950
_cell_length_b 5.5579
_cell_length_c 6.6079
_cell_angle_alpha 90.00
_cell_angle_beta 91.12
_cell_angle_gamma 90.00
_space_group_name_H-M_alt 'P 1 m 1'
_space_group_IT_number 6
loop_
_space_group_symop_operation_xyz
'x,y,z'
'x,-y,z'
loop_
_atom_site_label
_atom_site_type_symbol
_atom_site_fract_x
_atom_site_fract_y
_atom_site_fract_z
K1 K 0.0000 0.0000 0.0000
Tl1 Tl 0.0511 0.5000 0.6394
Tl2 Tl 0.5314 0.0000 0.5025
Te1 Te 0.5059 0.5000 0.1937
# Polymorph energy (0 for the lowest one)   0.1536 eV per atom
# ΔE_f (raw)   -0.3275 eV/atom
# D(E_F)   1.936 states/eV/f.u.

---

No. 2
# CuMo2Pt (SCAN, single point on PBEsol structure)
data_CuMo2Pt
_chemical_formula_sum 'Cu1 Mo2 Pt1'
_cell_length_a 3.2040
_cell_length_b 3.2040
_cell_length_c 5.6094
_cell_angle_alpha 90.00
_cell_angle_beta 90.00
_cell_angle_gamma 90.00
_space_group_name_H-M_alt 'P 4 m m'
_space_group_IT_number 99
loop_
_space_group_symop_operation_xyz
'x,y,z'
'-y,x,z'
'-x,-y,z'
'y,-x,z'
'-x,y,z'
'y,x,z'
'x,-y,z'
'-y,-x,z'
loop_
_atom_site_label
_atom_site_type_symbol
_atom_site_fract_x
_atom_site_fract_y
_atom_site_fract_z
Cu1 Cu 0.0000 0.0000 0.0000
Mo1 Mo 0.0000 0.0000 0.4917
Mo2 Mo 0.5000 0.5000 0.2496
Pt1 Pt 0.5000 0.5000 0.7739
# Polymorph energy (0 for the lowest one)   0.0916 eV per atom
# D(E_F)   3.210 states/eV/f.u.
# Energy of formation from the pure elements   -0.015 eV per atom

---

No. 3
# NiAs2P (SCAN, single point on PBEsol structure)
data_NiAs2P
_chemical_formula_sum 'Ni1 As2 P1'
_cell_length_a 4.6623
_cell_length_b 4.6623
_cell_length_c 2.7081
_cell_angle_alpha 90.00
_cell_angle_beta 90.00
_cell_angle_gamma 90.00
_space_group_name_H-M_alt 'P 4/m m m'
_space_group_IT_number 123
_space_group_name_Hall '-P 4 2'
loop_
_atom_site_label
_atom_site_type_symbol
_atom_site_fract_x
_atom_site_fract_y
_atom_site_fract_z
Ni1 Ni 0.0000 0.0000 0.0000
As1 As 0.0000 0.5000 0.5000
P1 P 0.5000 0.5000 0.0000
# D(E_F)   1.942 states/eV/f.u.
# Energy of formation from the pure elements   0.454 eV per atom

---

no.,electronic total energy (Ry per atom)
1,-3.5207
2,-2.8522
3,-1.1969